A geometry-optimized BeGa structure, computed with PBE.

The formation energy comes out at 0.64 eV/f.u. The value obtained for the volume is 169 Å³ per cell. The density is 4653 kg/m3. Its offset from the most stable computed form is 3.701 kcal/mol of atoms.

The space group is P6_3/m (No. 176) and the conventional cell measures 7.9781, 7.9781 and 3.0586 Å, with angles of 90.00, 90.00 and 120.00 degrees. The asymmetric unit holds Be at (0.1461, 0.6123, 0.2500) and Ga at (0.0484, 0.2901, 0.2500).